Entry 1:
## Ba3OsO4 (PBE)

Data for crystalline Ba3OsO4 at its relaxed geometry.

E_form (uncorrected): -1718 meV/atom
Final energy: -101.15 eV/cell

abc: 6.328 8.231 7.752
angles: 90.00 90.00 90.00
Element x y z (fractional)
Ba: 0.512 0.877 0.000
Ba: 0.009 0.630 0.250
Ba: 0.509 0.370 0.250
Ba: 0.012 0.123 0.500
Ba: 0.509 0.370 0.750
Ba: 0.009 0.630 0.750
Os: 0.957 0.275 0.000
Os: 0.457 0.725 0.500
O: 0.149 0.768 0.000
O: 0.686 0.178 0.000
O: 0.097 0.302 0.216
O: 0.597 0.698 0.284
O: 0.186 0.822 0.500
O: 0.649 0.232 0.500
O: 0.597 0.698 0.716
O: 0.097 0.302 0.784

Entry 2:
## TlAgPdRh (PBE)

Data for crystalline TlAgPdRh at its relaxed geometry.

Fermi-level density of states: 0.37 states/eV per cell
Final energy: -17.82 eV/cell
Formation energy: -16 meV/atom

abc: 4.602 4.602 4.602
angles: 60.00 60.00 60.00
Element x y z (fractional)
Tl: 0.250 0.250 0.250
Rh: 0.500 0.500 0.500
Pd: 0.000 0.000 0.000
Ag: 0.750 0.750 0.750

Among the records above, which one has the lowest final energy? Ba3OsO4